[1]
# PBE Fe2NiPd2, relaxed
data_Fe2NiPd2
_chemical_formula_sum 'Fe4 Ni2 Pd4'
_space_group_name_H-M_alt 'P 1'
_space_group_IT_number 1
_space_group_name_Hall 'P 1'
_cell_length_a 6.052
_cell_length_b 6.052
_cell_length_c 3.861
_cell_angle_alpha 90.00
_cell_angle_beta 90.00
_cell_angle_gamma 90.00
loop_
_atom_site_label
_atom_site_type_symbol
_atom_site_fract_x
_atom_site_fract_y
_atom_site_fract_z
Fe1 Fe 0.136 0.364 0.000
Fe2 Fe 0.364 0.864 0.000
Fe3 Fe 0.636 0.136 0.000
Fe4 Fe 0.864 0.636 0.000
Ni1 Ni 0.000 0.000 0.000
Ni2 Ni 0.500 0.500 0.000
Pd1 Pd 0.167 0.667 0.500
Pd2 Pd 0.333 0.167 0.500
Pd3 Pd 0.667 0.833 0.500
Pd4 Pd 0.833 0.333 0.500
# **Energy above the lowest structure with this stoichiometry**: 0.0000 eV per atom
# **Formation energy from the elements**: 1.1 eV per formula unit
# **E_tot**: -6.408 eV per atom


[2]
# PBE FeNi5Pd4, relaxed
data_FeNi5Pd4
_chemical_formula_sum 'Fe1 Ni5 Pd4'
_space_group_name_H-M_alt 'P 1'
_space_group_IT_number 1
_space_group_name_Hall 'P 1'
_cell_length_a 6.505
_cell_length_b 6.505
_cell_length_c 8.660
_cell_angle_alpha 112.54
_cell_angle_beta 112.54
_cell_angle_gamma 23.24
loop_
_atom_site_label
_atom_site_type_symbol
_atom_site_fract_x
_atom_site_fract_y
_atom_site_fract_z
Fe1 Fe 0.000 0.000 0.000
Ni1 Ni 0.000 0.000 0.500
Ni2 Ni 0.291 0.291 0.865
Ni3 Ni 0.320 0.320 0.408
Ni4 Ni 0.680 0.680 0.592
Ni5 Ni 0.709 0.709 0.135
Pd1 Pd 0.112 0.112 0.311
Pd2 Pd 0.402 0.402 0.184
Pd3 Pd 0.598 0.598 0.816
Pd4 Pd 0.888 0.888 0.689
# **Formation energy from the elements**: 1.2 eV per formula unit
# **E_tot**: -5.697 eV per atom